A plane-wave DFT calculation with PBE was carried out for a relaxed structure of SrGa2Se2.

Computed properties:
As for the excess energy over the best structure of this formula in the dataset: 5 kJ/mol of formula units. The calculation puts the total moment at 0.000 μB/f.u.

a = 5.319 Å, b = 5.319 Å, c = 8.780 Å
α = 90.00°, β = 90.00°, γ = 90.00°
Space group I4/mmm (No. 139)
Symmetry-distinct sites (fractional):
Sr 0.000 0.000 0.000 (multiplicity 2)
Ga 0.000 0.000 0.352 (multiplicity 4)
Se 0.000 0.500 0.250 (multiplicity 4)

=====

A plane-wave DFT calculation with PBE was carried out for a relaxed structure of Ac3Sn2Hg2.

Computed properties:
Its energy of formation from the pure elements is -402 kJ/mol of formula units. The calculation puts the total moment at 0.000 μB/f.u.

a = 12.361 Å, b = 4.937 Å, c = 8.128 Å
α = 90.00°, β = 108.43°, γ = 90.00°
Space group C2/m (No. 12)
Symmetry-distinct sites (fractional):
Ac 0.000 0.000 0.000 (multiplicity 2)
Ac 0.166 0.000 0.636 (multiplicity 4)
Sn 0.049 0.500 0.336 (multiplicity 4)
Hg 0.177 0.500 0.954 (multiplicity 4)